SmAl2Ag10: optimized geometry, PBE.

a = 5.4193 Å, b = 7.2230 Å, c = 7.2925 Å
α = 81.99°, β = 68.19°, γ = 67.97°
Last column: nearest neighbours and their distance in Å.
Fractional positions:
Ag 0.0089 0.6444 0.3378  2 Al 2.83, 6 Ag 2.93-2.99
Ag 0.2851 0.2205 0.2093  2 Al 2.71, 7 Ag 2.81-2.99
Ag 0.4944 0.2205 0.7907  2 Al 2.71, 7 Ag 2.81-2.99
Ag 0.6533 0.3556 0.3378  2 Al 2.83, 6 Ag 2.93-2.99
Ag 0.7149 0.7795 0.7907  2 Al 2.71, 7 Ag 2.81-2.99
Ag 0.3467 0.6444 0.6622  2 Al 2.83, 6 Ag 2.93-2.99
Ag 0.9911 0.3556 0.6622  2 Al 2.83, 6 Ag 2.93-2.99
Ag 0.0000 0.0000 0.5000  10 Ag 2.71-2.95
Ag 0.5056 0.7795 0.2093  2 Al 2.71, 7 Ag 2.81-2.99
Ag 0.5000 0.0000 0.5000  10 Ag 2.71-2.95
Sm 0.0000 0.0000 0.0000  16 Ag 3.30-3.65, 4 Al 3.61
Al 0.0000 0.5000 0.0000  2 Al 2.71, 8 Ag 2.71-2.83
Al 0.5000 0.5000 0.0000  2 Al 2.71, 8 Ag 2.71-2.83

Summary:
**DOS(E_F)**: 0.38 states/eV/atom
**Formation enthalpy at 0 K**: -0.105 eV per atom
**Theoretical density**: 8.67 Mg/m³
**Total moment**: 0.00 Bohr magnetons per cell